Density functional theory data (PBE) for YCu2Si after structural relaxation.

Computed properties:
Final energy ... -5.158 eV per atom
Crystal system ... tetragonal
Raw formation energy ... -0.138 eV per atom

abc: 4.117 4.117 4.020
angles: 90.00 90.00 90.00
Sites, in units of the cell vectors:
Y  0.000  0.000  0.000
Cu  0.000  0.500  0.500
Cu  0.500  0.000  0.500
Si  0.500  0.500  0.000

---

Density functional theory data (PBE) for HoTm2Cd after structural relaxation.

Computed properties:
Final energy ... -3.754 eV per atom
Crystal system ... tetragonal
Offset from the most stable computed form ... 0 meV per atom
Energy of formation from the pure elements ... -14.0 kJ per mole of atoms

abc: 3.533 3.533 8.993
angles: 90.00 90.00 90.00
Sites, in units of the cell vectors:
Ho  0.000  0.000  0.000
Tm  0.500  0.500  0.271
Tm  0.500  0.500  0.729
Cd  0.000  0.000  0.500

---

DOS at the Fermi energy values, unit states/eV per atom, following the record order: 0.619; 1.117.
Total magnetic moment values, unit μB/f.u., following the record order: 0.000; 0.000.